Record 1
# CdTeP2 PBE-GGA relaxed
data_CdTeP2
_chemical_formula_sum 'Cd1 Te1 P2'
_cell_length_a 3.0503
_cell_length_b 3.0503
_cell_length_c 10.2598
_cell_angle_alpha 90.00
_cell_angle_beta 90.00
_cell_angle_gamma 90.00
_symmetry_space_group_name_H-M 'P 1'
_symmetry_Int_Tables_number 1
loop_
_symmetry_equiv_pos_as_xyz
'x,y,z'
loop_
_atom_site_label
_atom_site_type_symbol
_atom_site_fract_x
_atom_site_fract_y
_atom_site_fract_z
_atom_site_occupancy
Cd1 Cd 0.0000 0.0000 0.0000 1
Te1 Te 0.5000 0.5000 0.6883 1
P1 P 0.0000 0.0000 0.3671 1
P2 P 0.5000 0.5000 0.2737 1
# Space-group type = P4mm, No. 99
# E_form (uncorrected) = 283 meV/atom
# D(E_F) = 2.8 states/eV/f.u.
# ρ = 5.253 Mg/m³
# Magnetic moment = 0.00 μB per cell

---

Record 2
# CdTeP2 PBE-GGA relaxed
data_CdTeP2
_chemical_formula_sum 'Cd1 Te1 P2'
_cell_length_a 4.8773
_cell_length_b 3.8697
_cell_length_c 5.1407
_cell_angle_alpha 90.00
_cell_angle_beta 112.73
_cell_angle_gamma 90.00
_symmetry_space_group_name_H-M 'P 1'
_symmetry_Int_Tables_number 1
loop_
_symmetry_equiv_pos_as_xyz
'x,y,z'
loop_
_atom_site_label
_atom_site_type_symbol
_atom_site_fract_x
_atom_site_fract_y
_atom_site_fract_z
_atom_site_occupancy
Cd1 Cd 0.0000 0.0000 0.0000 1
Te1 Te 0.7403 0.5000 0.3080 1
P1 P 0.2458 0.5000 0.7060 1
P2 P 0.4496 0.0000 0.5547 1
# Space-group type = Pm, No. 6
# E_form (uncorrected) = 146 meV/atom
# D(E_F) = 1.0 states/eV/f.u.
# ρ = 5.603 Mg/m³
# Magnetic moment = 0.00 μB per cell

---

Record 3
# CdTe2P PBE-GGA relaxed
data_CdTe2P
_chemical_formula_sum 'Cd1 Te2 P1'
_cell_length_a 10.2590
_cell_length_b 10.2590
_cell_length_c 10.2590
_cell_angle_alpha 20.88
_cell_angle_beta 20.88
_cell_angle_gamma 20.88
_symmetry_space_group_name_H-M 'P 1'
_symmetry_Int_Tables_number 1
loop_
_symmetry_equiv_pos_as_xyz
'x,y,z'
loop_
_atom_site_label
_atom_site_type_symbol
_atom_site_fract_x
_atom_site_fract_y
_atom_site_fract_z
_atom_site_occupancy
Cd1 Cd 0.0000 0.0000 0.0000 1
Te1 Te 0.1096 0.1096 0.1096 1
Te2 Te 0.8904 0.8904 0.8904 1
P1 P 0.5000 0.5000 0.5000 1
# Space-group type = R-3m, No. 166
# E_form (uncorrected) = 235 meV/atom
# D(E_F) = 2.9 states/eV/f.u.
# ρ = 5.513 Mg/m³
# Magnetic moment = 0.00 μB per cell